(1)
Pr6Ho8In | PBE | optimized geometry

Cell: 6.410 9.498 9.498 Å, 120.00 90.00 90.00°
Positions (direct):
1 Ho 0.188 0.778 0.040
2 Pr 0.315 0.360 0.911
3 Ho 0.812 0.222 0.960
4 Pr 0.685 0.911 0.551
5 Ho 0.812 0.040 0.262
6 Pr 0.315 0.551 0.640
7 In 0.500 0.000 0.000
8 Pr 0.315 0.089 0.449
9 Pr 0.685 0.640 0.089
10 Ho 0.171 0.667 0.333
11 Ho 0.812 0.738 0.778
12 Ho 0.188 0.960 0.738
13 Ho 0.829 0.333 0.667
14 Pr 0.685 0.449 0.360
15 Ho 0.188 0.262 0.222

## Properties
VASP energy   -4.47 eV per atom
Density   7.6 Mg/m³
Formation enthalpy at 0 K   65.0 meV per atom
Space-group type   No. 147

---

(2)
BaTa2Au | PBE | optimized geometry

Cell: 3.074 3.074 9.798 Å, 90.00 90.00 97.83°
Positions (direct):
1 Au 0.000 0.000 0.457
2 Ta 0.000 0.000 0.051
3 Ba 0.500 0.500 0.735
4 Ta 0.500 0.500 0.257

## Properties
VASP energy   -6.84 eV per atom
Density   12.6 Mg/m³
Formation enthalpy at 0 K   390.7 meV per atom
Space-group type   No. 35

---

(3)
ErAlTl2Se4 | PBE | optimized geometry

Cell: 8.469 8.469 8.615 Å, 120.57 120.57 90.24°
Positions (direct):
1 Se 0.760 0.740 0.547
2 Se 0.200 0.752 0.976
3 Se 0.240 0.260 0.453
4 Tl 0.500 0.000 0.500
5 Se 0.240 0.260 0.047
6 Al 0.500 0.500 0.500
7 Tl 0.000 0.000 0.500
8 Se 0.748 0.300 0.524
9 Tl 0.500 0.000 0.000
10 Er 0.000 0.500 0.500
11 Se 0.760 0.740 0.953
12 Er 0.000 0.500 0.000
13 Tl 0.500 0.500 0.000
14 Se 0.800 0.248 0.024
15 Al 0.000 0.000 0.000
16 Se 0.252 0.700 0.476

## Properties
VASP energy   -4.27 eV per atom
Density   7.1 Mg/m³
Space-group type   No. 74
ΔE_f (raw)   -0.903 eV/atom

---

(4)
PuMgZn3 | PBE | optimized geometry

Cell: 5.785 6.442 6.442 Å, 119.99 90.00 90.00°
Site moments in Bohr magnetons follow the coordinates.
Positions (direct):
1 Zn 0.250 0.404 0.202  -0.02
2 Mg 0.500 0.000 0.000  0.01
3 Mg 0.000 0.000 0.000  0.01
4 Zn 0.750 0.596 0.798  -0.02
5 Pu 0.750 0.667 0.333  -5.43
6 Zn 0.750 0.202 0.798  -0.02
7 Zn 0.250 0.798 0.596  -0.02
8 Zn 0.250 0.798 0.202  -0.02
9 Pu 0.250 0.333 0.667  -5.43
10 Zn 0.750 0.202 0.404  -0.02

## Properties
VASP energy   -3.91 eV per atom
Density   7.4 Mg/m³
Formation enthalpy at 0 K   42.2 meV per atom
Space-group type   No. 194

---

(5)
SnBi2Pb | PBE | optimized geometry

Cell: 5.562 5.562 5.562 Å, 60.00 60.00 60.00°
Positions (direct):
1 Bi 0.250 0.250 0.250
2 Bi 0.750 0.750 0.750
3 Sn 0.000 0.000 0.000
4 Pb 0.500 0.500 0.500

## Properties
VASP energy   -3.77 eV per atom
Density   10.2 Mg/m³
Formation enthalpy at 0 K   95.6 meV per atom
Space-group type   No. 225

---

(6)
K2ErCd2Te4 | PBE | optimized geometry

Cell: 4.441 8.821 9.000 Å, 113.66 104.28 90.00°
Positions (direct):
1 Cd 0.690 0.012 0.380
2 Te 0.482 0.231 0.964
3 Te 0.190 0.230 0.381
4 Te 0.518 0.769 0.036
5 K 0.126 0.570 0.253
6 K 0.874 0.430 0.747
7 Te 0.810 0.770 0.619
8 Cd 0.310 0.988 0.620
9 Er 0.000 0.000 0.000

## Properties
VASP energy   -3.21 eV per atom
Density   5.2 Mg/m³
Space-group type   No. 12
ΔE_f (raw)   -0.856 eV/atom

---

(7)
GaRuRh3 | PBE | optimized geometry

Cell: 4.679 4.679 4.679 Å, 90.00 90.00 90.00°
Positions (direct):
1 Rh 0.000 0.500 0.000
2 Rh 0.000 0.000 0.500
3 Ga 0.500 0.500 0.500
4 Ru 0.000 0.000 0.000
5 Rh 0.500 0.000 0.000

## Properties
VASP energy   -5.70 eV per atom
Density   7.8 Mg/m³
Formation enthalpy at 0 K   1171.8 meV per atom
Space-group type   No. 221

---

(8)
Tb2Tl2SbO6 | PBE | optimized geometry

Cell: 5.970 5.970 6.873 Å, 97.78 97.78 119.84°
Positions (direct):
1 Tl 0.835 0.165 0.000
2 Tl 0.165 0.835 0.000
3 Tb 0.334 0.666 0.500
4 O 0.740 0.740 0.665
5 O 0.952 0.636 0.337
6 O 0.260 0.260 0.335
7 O 0.048 0.364 0.663
8 O 0.636 0.952 0.337
9 Tb 0.666 0.334 0.500
10 O 0.364 0.048 0.663
11 Sb 0.000 0.000 0.500

## Properties
VASP energy   -6.37 eV per atom
Density   7.7 Mg/m³
Space-group type   No. 12
ΔE_f (raw)   -2.016 eV/atom

---

(9)
NiIr2Ru2Rh2 | PBE | optimized geometry

Cell: 2.696 9.472 10.962 Å, 157.09 90.00 98.18°
Positions (direct):
1 Ir 0.420 0.841 0.764
2 Ir 0.580 0.159 0.236
3 Ru 0.203 0.406 0.624
4 Rh 0.631 0.262 0.892
5 Ni 0.000 0.000 0.500
6 Ru 0.797 0.594 0.376
7 Rh 0.369 0.738 0.108

## Properties
VASP energy   -7.90 eV per atom
Density   13.9 Mg/m³
Formation enthalpy at 0 K   210.4 meV per atom
Space-group type   No. 12

---

(10)
Mg3Te4 | PBE | optimized geometry

Cell: 6.270 6.270 6.270 Å, 90.00 90.00 90.00°
Site moments in Bohr magnetons follow the coordinates.
Positions (direct):
1 Te 0.772 0.228 0.228  0.13
2 Mg 0.500 0.000 0.500  0.00
3 Te 0.772 0.772 0.772  0.13
4 Te 0.228 0.772 0.228  0.13
5 Mg 0.500 0.500 0.000  0.00
6 Mg 0.000 0.500 0.500  0.00
7 Te 0.228 0.228 0.772  0.13

## Properties
VASP energy   -2.94 eV per atom
Density   3.9 Mg/m³
Space-group type   No. 215
ΔE_f (raw)   -0.464 eV/atom

---

(11)
Pr3SnPCl | PBE | optimized geometry

Cell: 4.220 7.472 11.412 Å, 102.06 90.00 90.00°
Positions (direct):
1 Pr 0.250 0.957 0.855
2 Pr 0.750 0.272 0.501
3 P 0.250 0.766 0.058
4 Sn 0.750 0.653 0.694
5 Pr 0.750 0.547 0.152
6 Cl 0.750 0.876 0.365
7 Sn 0.250 0.347 0.306
8 Pr 0.750 0.043 0.145
9 Pr 0.250 0.453 0.848
10 P 0.750 0.234 0.942
11 Pr 0.250 0.728 0.499
12 Cl 0.250 0.124 0.635

## Properties
VASP energy   -5.53 eV per atom
Density   5.7 Mg/m³
Space-group type   No. 11
ΔE_f (raw)   -1.260 eV/atom

---

(12)
ScSiHg2 | PBE | optimized geometry

Cell: 4.172 3.196 6.462 Å, 75.88 90.00 90.00°
Positions (direct):
1 Si 0.500 0.966 0.692
2 Hg 0.500 0.185 0.255
3 Hg 0.000 0.814 0.000
4 Sc 0.000 0.535 0.553

## Properties
VASP energy   -3.23 eV per atom
Density   9.4 Mg/m³
Space-group type   No. 6
ΔE_f (raw)   -0.136 eV/atom